# 1
# Pm5Sm12Sn2

An optimized crystal structure of Pm5Sm12Sn2 (PBE, the Alexandria database).

Values from the calculation:
Calculated formation energy = -1.81 eV per formula unit

a = 9.1085 Å, b = 9.1085 Å, c = 8.5551 Å
α = 92.64°, β = 92.64°, γ = 63.52°
With the nearest neighbours (Å) after each atom.
Positions (direct):
Pm 0.0000 0.0000 0.0000  10 Sm 3.42-3.77, 2 Pm 3.68
Pm 0.2352 0.2352 0.0875  8 Sm 3.37-3.70, 2 Pm 3.68-3.69
Pm 0.3194 0.3194 0.4993  2 Sn 3.37, 5 Sm 3.40-3.68, 1 Pm 3.69
Pm 0.6806 0.6806 0.5007  2 Sn 3.37, 5 Sm 3.40-3.68, 1 Pm 3.69
Pm 0.7648 0.7648 0.9125  8 Sm 3.37-3.70, 2 Pm 3.68-3.69
Sm 0.0345 0.6681 0.2676  1 Sn 3.18, 2 Sm 3.47-3.51
Sm 0.0783 0.0783 0.3821  5 Sm 3.24-3.60, 2 Sn 3.34, 2 Pm 3.42-3.60
Sm 0.1836 0.5725 0.8440  4 Sm 3.30-3.63, 3 Pm 3.48-3.63, 1 Sn 3.58
Sm 0.3319 0.9655 0.7324  1 Sn 3.18, 2 Sm 3.47-3.51
Sm 0.4275 0.8164 0.1560  4 Sm 3.30-3.63, 3 Pm 3.48-3.63, 1 Sn 3.58
Sm 0.4485 0.4485 0.1908  6 Sm 3.30-3.62, 2 Sn 3.30, 2 Pm 3.37-3.40
Sm 0.5515 0.5515 0.8092  6 Sm 3.30-3.62, 2 Sn 3.30, 2 Pm 3.37-3.40
Sm 0.5725 0.1836 0.8440  4 Sm 3.30-3.63, 3 Pm 3.48-3.63, 1 Sn 3.58
Sm 0.6681 0.0345 0.2676  1 Sn 3.18, 2 Sm 3.47-3.51
Sm 0.8164 0.4275 0.1560  4 Sm 3.30-3.63, 3 Pm 3.48-3.63, 1 Sn 3.58
Sm 0.9217 0.9217 0.6179  5 Sm 3.24-3.60, 2 Sn 3.34, 2 Pm 3.42-3.60
Sm 0.9655 0.3319 0.7324  1 Sn 3.18, 2 Sm 3.47-3.51
Sn 0.3046 0.6954 0.5000  6 Sm 3.18-3.34, 2 Pm 3.37
Sn 0.6954 0.3046 0.5000  6 Sm 3.18-3.34, 2 Pm 3.37


# 2
# PmSm4Sn

An optimized crystal structure of PmSm4Sn (PBE, the Alexandria database).

Values from the calculation:
Calculated formation energy = 0.24 eV per formula unit

a = 12.9913 Å, b = 12.9913 Å, c = 6.4033 Å
α = 90.00°, β = 90.00°, γ = 156.87°
With the nearest neighbours (Å) after each atom.
Positions (direct):
Pm 0.0348 0.9652 0.5000  5 Sm 3.36-3.76, 2 Pm 3.66
Pm 0.9652 0.0348 0.0000  5 Sm 3.36-3.76, 2 Pm 3.66
Sm 0.0969 0.9031 0.0366  2 Sn 3.25, 4 Sm 3.36-3.61, 2 Pm 3.36
Sm 0.1817 0.8183 0.4387  2 Sn 3.20, 7 Sm 3.29-3.50
Sm 0.2263 0.7737 0.9311  3 Sn 3.24-3.33, 5 Sm 3.35-3.50
Sm 0.3728 0.6272 0.1652  2 Sn 3.29-3.43, 4 Sm 3.29-3.61, 2 Pm 3.67
Sm 0.6272 0.3728 0.6652  2 Sn 3.29-3.43, 4 Sm 3.29-3.61, 2 Pm 3.67
Sm 0.7737 0.2263 0.4311  3 Sn 3.24-3.33, 5 Sm 3.35-3.50
Sm 0.8183 0.1817 0.9387  2 Sn 3.20, 7 Sm 3.29-3.50
Sm 0.9031 0.0969 0.5366  2 Sn 3.25, 4 Sm 3.36-3.61, 2 Pm 3.36
Sn 0.3326 0.6674 0.6533  9 Sm 3.20-3.43
Sn 0.6674 0.3326 0.1533  9 Sm 3.20-3.43


Number 1: raw total energy -4.7476 eV/atom. Number 2: raw total energy -4.5646 eV/atom.